1.
VASP calculation (SCAN) on a crystal of LiBiSb3 relaxed with PBEsol.

The structure in POSCAR format:
```
LiBiSb3
1.0
-4.7564 -3.3458 -0.3360
3.2017 -4.3282 -2.2239
1.0277 -2.0006 5.3732
Sb Bi Li
3 1 1
direct
0.0000 0.5000 0.0000
0.0000 0.0000 0.5000
0.5000 0.0000 0.0000
0.0000 0.0000 0.0000
0.5000 0.5000 0.5000
```

Results
SG: Pm-3m, No. 221
Crystal system: cubic
Total magnetic moment, μB per formula unit: 1.1
Fermi-level density of states, states/eV per cell: 4.80
E, eV per atom: -37.78
Energy relative to the elements, uncorrected, meV per atom: 765.4

2.
VASP calculation (SCAN) on a crystal of LiBi2Sb2 relaxed with PBEsol.

The structure in POSCAR format:
```
LiBi2Sb2
1.0
5.9367 0.0000 0.0000
-2.9684 5.5235 0.0999
0.0000 3.0988 5.0638
Sb Bi Li
2 2 1
direct
0.7500 0.5000 0.7500
0.2500 0.5000 0.2500
0.6662 0.3325 0.3338
0.3338 0.6675 0.6662
0.0000 0.0000 0.0000
```

Results
SG: I4/mmm, No. 139
Crystal system: tetragonal
Total magnetic moment, μB per formula unit: 0.0
Fermi-level density of states, states/eV per cell: 2.64
E, eV per atom: -46.75
Energy relative to the elements, uncorrected, meV per atom: 67.3

3.
VASP calculation (SCAN) on a crystal of LiTa2BiSb relaxed with PBEsol.

The structure in POSCAR format:
```
LiTa2BiSb
1.0
5.0709 0.0000 0.0000
0.0000 5.0709 0.0000
0.0000 0.0000 5.8288
Sb Li Bi Ta
1 1 1 2
direct
0.0000 0.0000 0.0000
0.5000 0.5000 0.5000
0.0000 0.0000 0.5000
0.0000 0.5000 0.0000
0.5000 0.0000 0.0000
```

Results
SG: P4/mmm, No. 123
Crystal system: tetragonal
Total magnetic moment, μB per formula unit: 1.2
Fermi-level density of states, states/eV per cell: 4.25
E, eV per atom: -48.64
Energy relative to the elements, uncorrected, meV per atom: 1635.5

- Which value of total magnetic moment does entry 3 give?
  1.2 μB per formula unit